Record 1
Y2ZnCoHg after structural relaxation, computed with PBE-GGA.

Cell: 5.069 5.069 4.670 Å, 90.00 90.00 90.00°
Fractional positions:
Y: 0.000 0.500 0.000
Y: 0.500 0.000 0.000
Zn: 0.000 0.000 0.500
Co: 0.000 0.000 0.000
Hg: 0.500 0.500 0.500

Calculated volume in Å³/cell: 120.0
Density in g/cm³: 7.0
Raw total energy in eV/cell: -22.44
Total magnetization in μB per atom: 0.0000



Record 2
ZnCoHg after structural relaxation, computed with PBE-GGA.

Cell: 3.008 3.008 10.201 Å, 90.00 90.00 90.00°
Fractional positions:
Zn: 0.000 0.000 0.000
Zn: 0.500 0.500 0.500
Co: 0.000 0.000 0.376
Co: 0.500 0.500 0.876
Hg: 0.000 0.000 0.702
Hg: 0.500 0.500 0.202

Calculated volume in Å³/cell: 92.3
Density in g/cm³: 11.7
Energy relative to the lowest polymorph listed for this composition in kJ/mol of formula units: 0
Total magnetization in μB per atom: 0.0000



Record 3
ZnCoHg2 after structural relaxation, computed with PBE-GGA.

Cell: 3.359 4.118 5.392 Å, 90.00 107.66 90.00°
Fractional positions:
Zn: 0.000 0.000 0.000
Co: 0.130 0.500 0.267
Hg: 0.404 0.500 0.805
Hg: 0.713 0.000 0.437

Calculated volume in Å³/cell: 71.1
Density in g/cm³: 12.3
Raw total energy in eV/cell: -7.69
Total magnetization in μB per atom: 0.1756



Record 4
ZnCoHg3 after structural relaxation, computed with PBE-GGA.

Cell: 5.067 5.067 5.067 Å, 90.00 90.00 90.00°
Fractional positions:
Zn: 0.000 0.000 0.000
Co: 0.500 0.500 0.500
Hg: 0.000 0.500 0.500
Hg: 0.500 0.000 0.500
Hg: 0.500 0.500 0.000

Calculated volume in Å³/cell: 130.1
Density in g/cm³: 9.3
Energy relative to the lowest polymorph listed for this composition in kJ/mol of formula units: 0
Total magnetization in μB per atom: 0.1560